The following is a PBEsol calculation of a relaxed In2CoSi crystal, from Alexandria.

Cell and atoms, written as CIF:
```
data_In2CoSi
_space_group_name_H-M_alt 'C m m m'
_space_group_IT_number 65
_space_group_name_Hall '-C 2 2'
_cell_length_a 5.455
_cell_length_b 7.774
_cell_length_c 3.194
_cell_angle_alpha 90.00
_cell_angle_beta 90.00
_cell_angle_gamma 90.00
loop_
_atom_site_label
_atom_site_fract_x
_atom_site_fract_y
_atom_site_fract_z
_atom_site_occupancy
In1 0.250 0.250 0.000 1
Co1 0.000 0.000 0.500 1
Si1 0.000 0.500 0.500 1
```

Computed properties:
Total magnetization in μB/cell: 0.97
V in Å³/f.u.: 67.7
ΔE_f (raw) in kJ/mol of formula units: 150
DOS at the Fermi energy in states/eV per cell: 5.656
DFT total energy in eV/atom: -4.475


The following is a PBEsol calculation of a relaxed InCoSn2W crystal, from Alexandria.

Cell and atoms, written as CIF:
```
data_InCoSn2W
_space_group_name_H-M_alt 'P 4/m m m'
_space_group_IT_number 123
_space_group_name_Hall '-P 4 2'
_cell_length_a 5.320
_cell_length_b 5.320
_cell_length_c 5.137
_cell_angle_alpha 90.00
_cell_angle_beta 90.00
_cell_angle_gamma 90.00
loop_
_atom_site_label
_atom_site_fract_x
_atom_site_fract_y
_atom_site_fract_z
_atom_site_occupancy
In1 0.000 0.000 0.000 1
Co1 0.500 0.500 0.500 1
Sn1 0.000 0.500 0.000 1
W1 0.000 0.000 0.500 1
```

Computed properties:
Total magnetization in μB/cell: 5.18
V in Å³/f.u.: 145.4
DOS at the Fermi energy in states/eV per cell: 7.869
DFT total energy in eV/atom: -4.337
Energy of formation from the pure elements in eV per atom: 2.273


The following is a PBEsol calculation of a relaxed SrIn2Co crystal, from Alexandria.

Cell and atoms, written as CIF:
```
data_SrIn2Co
_space_group_name_H-M_alt 'I -4 m 2'
_space_group_IT_number 119
_space_group_name_Hall 'I -4 -2'
_cell_length_a 5.000
_cell_length_b 5.000
_cell_length_c 7.059
_cell_angle_alpha 90.00
_cell_angle_beta 90.00
_cell_angle_gamma 90.00
loop_
_atom_site_label
_atom_site_fract_x
_atom_site_fract_y
_atom_site_fract_z
_atom_site_occupancy
Sr1 0.000 0.000 0.000 1
In1 0.000 0.000 0.500 1
In2 0.000 0.500 0.750 1
Co1 0.000 0.500 0.250 1
```

Computed properties:
Total magnetization in μB/cell: 2.94
V in Å³/f.u.: 88.3
DOS at the Fermi energy in states/eV per cell: 6.482
DFT total energy in eV/atom: -3.671
Energy of formation from the pure elements in eV per atom: 0.215


The following is a PBEsol calculation of a relaxed SrIn2Co crystal, from Alexandria.

Cell and atoms, written as CIF:
```
data_SrIn2Co
_space_group_name_H-M_alt 'C m m m'
_space_group_IT_number 65
_space_group_name_Hall '-C 2 2'
_cell_length_a 5.998
_cell_length_b 9.684
_cell_length_c 3.156
_cell_angle_alpha 90.00
_cell_angle_beta 90.00
_cell_angle_gamma 90.00
loop_
_atom_site_label
_atom_site_fract_x
_atom_site_fract_y
_atom_site_fract_z
_atom_site_occupancy
Sr1 0.000 0.000 0.000 1
In1 0.250 0.250 0.500 1
Co1 0.000 0.500 0.000 1
```

Computed properties:
Total magnetization in μB/cell: 3.03
V in Å³/f.u.: 91.6
DOS at the Fermi energy in states/eV per cell: 9.945
DFT total energy in eV/atom: -3.510
Energy of formation from the pure elements in eV per atom: 0.376